(1)
A relaxed structure of Er3SiPd4. Source: OQMD via LeMat-Bulk, functional PBE.

```
Er3SiPd4
1.0
5.567 0.000 0.000
0.000 4.267 0.000
-0.066 0.000 6.681
Er Pd Si
3 4 1
direct
0.140 0.000 0.172
0.374 0.000 0.671
0.859 0.500 0.807
0.650 0.000 0.102
0.172 0.500 0.447
0.828 0.000 0.502
0.359 0.500 0.965
0.618 0.500 0.334
```

Output
Final energy: -5.776 eV per atom
Size of the total moment: 0.0 μB per formula unit



(2)
A relaxed structure of NaNiAs. Source: OQMD via LeMat-Bulk, functional PBE.

```
NaNiAs
1.0
0.000 3.047 3.047
3.047 0.000 3.047
3.047 3.047 0.000
As Na Ni
1 1 1
direct
0.250 0.250 0.250
0.000 0.000 0.000
0.750 0.750 0.750
```

Output
Final energy: -3.147 eV per atom
Size of the total moment: 0.0 μB per formula unit



(3)
A relaxed structure of Dy2Ho2CIBr4. Source: OQMD via LeMat-Bulk, functional PBE.

```
Dy2Ho2CIBr4
1.0
8.858 -1.926 0.000
8.858 1.926 0.000
-1.983 0.000 8.244
Br C Dy Ho I
4 1 2 2 1
direct
0.829 0.829 0.159
0.166 0.166 0.325
0.834 0.834 0.675
0.171 0.171 0.841
0.500 0.500 0.000
0.999 0.999 0.192
0.001 0.001 0.808
0.638 0.638 0.071
0.362 0.362 0.929
0.500 0.500 0.500
```

Output
Final energy: -4.942 eV per atom
Size of the total moment: 0.3 μB per formula unit



(4)
A relaxed structure of TbZnNO. Source: OQMD via LeMat-Bulk, functional PBE.

```
TbZnNO
1.0
3.681 0.000 0.000
0.000 3.681 0.000
0.000 0.000 7.779
N O Tb Zn
2 2 2 2
direct
0.750 0.750 0.356
0.250 0.250 0.644
0.750 0.250 0.000
0.250 0.750 0.000
0.250 0.250 0.155
0.750 0.750 0.845
0.750 0.250 0.500
0.250 0.750 0.500
```

Output
E above lowest polymorph: 131 meV/atom
Size of the total moment: 0.0 μB per formula unit



(5)
A relaxed structure of TmUBi. Source: OQMD via LeMat-Bulk, functional PBE.

```
TmUBi
1.0
0.000 3.668 3.668
3.668 0.000 3.668
3.668 3.668 0.000
Bi Tm U
1 1 1
direct
0.250 0.250 0.250
0.000 0.000 0.000
0.750 0.750 0.750
```

Output
Final energy: -5.881 eV per atom
Size of the total moment: 5.5 μB per formula unit



(6)
A relaxed structure of LuCdCoGe. Source: OQMD via LeMat-Bulk, functional PBE.

```
LuCdCoGe
1.0
0.000 3.281 3.281
3.281 0.000 3.281
3.281 3.281 0.000
Cd Co Ge Lu
1 1 1 1
direct
0.250 0.250 0.250
0.750 0.750 0.750
0.000 0.000 0.000
0.500 0.500 0.500
```

Output
E above lowest polymorph: 96 meV/atom
Size of the total moment: 0.0 μB per formula unit



(7)
A relaxed structure of LuThNp. Source: OQMD via LeMat-Bulk, functional PBE.

```
LuThNp
1.0
2.865 2.059 3.735
-1.749 0.082 4.830
2.141 -3.024 3.559
Lu Np Th
1 1 1
direct
0.000 0.000 0.000
0.250 0.250 0.250
0.750 0.750 0.750
```

Output
Size of the total moment: 4.5 μB per formula unit
DFT formation energy: 1.1679 eV/atom



(8)
A relaxed structure of UTlCo. Source: OQMD via LeMat-Bulk, functional PBE.

```
UTlCo
1.0
3.994 1.299 1.990
-0.037 2.005 4.193
1.614 -2.311 3.695
Co Tl U
1 1 1
direct
0.250 0.250 0.250
0.750 0.750 0.750
0.000 0.000 0.000
```

Output
Final energy: -5.748 eV per atom
Size of the total moment: 1.5 μB per formula unit



(9)
A relaxed structure of NaLaCo. Source: OQMD via LeMat-Bulk, functional PBE.

```
NaLaCo
1.0
0.408 2.965 3.646
0.197 4.652 -0.754
-3.635 2.744 1.227
Co La Na
1 1 1
direct
0.000 0.000 0.000
0.250 0.250 0.250
0.750 0.750 0.750
```

Output
E above lowest polymorph: 0 meV/atom
Size of the total moment: 0.1 μB per formula unit



(10)
A relaxed structure of TbPS4. Source: OQMD via LeMat-Bulk, functional PBE.

```
TbPS4
1.0
-2.114 -2.106 11.833
3.543 9.856 -2.515
-8.686 1.546 -6.179
P S Tb
8 32 8
direct
0.000 0.250 0.212
0.500 0.212 0.250
0.500 0.712 0.250
0.000 0.750 0.288
0.000 0.250 0.712
0.500 0.288 0.750
0.500 0.788 0.750
0.000 0.750 0.788
0.495 0.110 0.085
0.505 0.616 0.091
0.821 0.657 0.094
0.995 0.085 0.110
0.005 0.415 0.116
0.321 0.727 0.157
0.321 0.227 0.164
0.821 0.164 0.227
0.179 0.843 0.273
0.679 0.406 0.336
0.679 0.906 0.343
0.995 0.909 0.384
0.005 0.591 0.390
0.179 0.336 0.406
0.495 0.610 0.409
0.505 0.116 0.415
0.495 0.884 0.585
0.505 0.390 0.591
0.821 0.664 0.594
0.995 0.409 0.610
0.005 0.091 0.616
0.321 0.094 0.657
0.321 0.594 0.664
0.821 0.157 0.727
0.179 0.836 0.773
0.679 0.773 0.836
0.679 0.273 0.843
0.995 0.585 0.884
0.005 0.915 0.890
0.179 0.343 0.906
0.495 0.384 0.909
0.505 0.890 0.915
0.750 0.375 0.125
0.750 0.875 0.125
0.250 0.125 0.375
0.250 0.625 0.375
0.750 0.375 0.625
0.750 0.875 0.625
0.250 0.125 0.875
0.250 0.625 0.875
```

Output
Final energy: -5.466 eV per atom
Size of the total moment: 0.0 μB per formula unit



(11)
A relaxed structure of TbSm2Cu4Sn2Ge2. Source: OQMD via LeMat-Bulk, functional PBE.

```
TbSm2Cu4Sn2Ge2
1.0
2.998 3.158 7.126
5.239 6.502 0.164
-7.435 -3.190 -2.071
Cu Ge Sm Sn Tb
4 2 2 2 1
direct
0.653 0.342 0.311
0.970 0.658 0.311
0.030 0.342 0.689
0.347 0.658 0.689
0.692 0.500 0.192
0.308 0.500 0.808
0.626 0.126 0.500
0.374 0.874 0.500
0.217 0.217 0.000
0.783 0.783 0.000
0.000 0.000 0.000
```

Output
E above lowest polymorph: 0 meV/atom
Size of the total moment: 0.0 μB per formula unit



(12)
A relaxed structure of Tb2TmIn3Pd3. Source: OQMD via LeMat-Bulk, functional PBE.

```
Tb2TmIn3Pd3
1.0
3.838 0.000 0.000
0.000 6.653 3.857
0.000 -6.653 3.857
In Pd Tb Tm
3 3 2 1
direct
0.500 0.261 0.261
0.500 0.999 0.740
0.500 0.740 0.999
0.500 0.666 0.336
0.500 0.336 0.666
0.000 0.999 0.999
0.000 0.000 0.408
0.000 0.408 0.000
0.000 0.592 0.592
```

Output
Final energy: -4.982 eV per atom
Size of the total moment: 0.0 μB per formula unit